Entry 1:
Crystalline LiLa2In2 at its relaxed geometry. Source: Alexandria via LeMat-Bulk, functional PBE.

Summary:
The value obtained for the final energy is -3.817 eV per atom. The calculation puts the excess energy over the best structure of this formula in the dataset at 25 meV per atom. Its crystal system is tetragonal.

Structure (POSCAR):
```
LiLa2In2
1.0
7.729 0.000 0.000
0.000 7.729 0.000
0.000 0.000 5.007
La Li In
4 2 4
Direct
0.849 0.349 0.500
0.151 0.651 0.500
0.349 0.151 0.500
0.651 0.849 0.500
0.000 0.000 0.000
0.500 0.500 0.000
0.649 0.149 0.000
0.149 0.351 0.000
0.851 0.649 0.000
0.351 0.851 0.000
```

---

Entry 2:
Crystalline LiLa2In12 at its relaxed geometry. Source: Alexandria via LeMat-Bulk, functional PBE.

Summary:
The value obtained for the final energy is -3.200 eV per atom. Its crystal system is tetragonal.

Structure (POSCAR):
```
LiLa2In12
1.0
-3.048 -5.475 -2.842
5.574 -3.802 1.347
-6.592 -4.256 15.268
In Li La
24 2 4
Direct
0.664 0.836 0.571
0.000 0.000 0.817
0.836 0.664 0.429
0.000 0.000 0.183
0.751 0.749 0.914
0.164 0.336 0.429
0.500 0.500 0.657
0.249 0.749 0.086
0.336 0.836 0.429
0.500 0.500 0.817
0.751 0.251 0.086
0.336 0.164 0.571
0.500 0.500 0.183
0.164 0.664 0.571
0.664 0.164 0.429
0.000 0.000 0.343
0.500 0.500 0.343
0.000 0.000 0.657
0.836 0.336 0.571
0.749 0.249 0.914
0.251 0.249 0.086
0.249 0.251 0.914
0.251 0.751 0.914
0.749 0.751 0.086
0.000 0.500 0.000
0.500 0.000 0.000
0.000 0.500 0.758
0.500 0.000 0.242
0.500 0.000 0.758
0.000 0.500 0.242
```

---

Entry 3:
Crystalline LiLa2In3 at its relaxed geometry. Source: Alexandria via LeMat-Bulk, functional PBE.

Summary:
The value obtained for the final energy is -3.798 eV per atom. The calculation puts the excess energy over the best structure of this formula in the dataset at 0 meV per atom. Its crystal system is orthorhombic.

Structure (POSCAR):
```
LiLa2In3
1.0
6.109 -0.061 -1.578
-2.047 5.757 -1.578
0.044 0.062 9.500
In La Li
6 4 2
Direct
0.830 0.830 0.659
0.832 0.340 0.172
0.660 0.168 0.828
0.170 0.170 0.341
0.340 0.832 0.172
0.168 0.660 0.828
0.747 0.747 0.000
0.250 0.750 0.500
0.253 0.253 0.000
0.750 0.250 0.500
0.668 0.668 0.337
0.332 0.332 0.663
```

---

Entry 4:
Crystalline LiLa4In at its relaxed geometry. Source: Alexandria via LeMat-Bulk, functional PBE.

Summary:
The value obtained for the final energy is -4.195 eV per atom. The calculation puts the excess energy over the best structure of this formula in the dataset at 0 meV per atom. Its crystal system is monoclinic.

Structure (POSCAR):
```
LiLa4In
1.0
0.482 3.573 1.583
-4.616 0.558 5.043
8.330 -0.236 2.896
La Li In
4 1 1
Direct
0.668 0.987 0.676
0.181 0.469 0.169
0.819 0.531 0.831
0.332 0.013 0.324
0.000 0.000 0.000
0.500 0.500 0.500
```

---

Entry 5:
Crystalline Li6La2In9 at its relaxed geometry. Source: Alexandria via LeMat-Bulk, functional PBE.

Summary:
The value obtained for the final energy is -2.921 eV per atom. Its crystal system is hexagonal.

Structure (POSCAR):
```
Li6La2In9
1.0
-5.737 0.896 -1.490
1.621 -5.061 2.773
-2.267 6.046 12.360
La In Li
2 9 6
Direct
0.000 0.000 0.670
0.000 0.000 0.330
0.500 0.000 0.824
0.500 0.500 0.824
0.000 0.500 0.176
0.500 0.000 0.500
0.500 0.000 0.176
0.500 0.500 0.500
0.000 0.500 0.500
0.500 0.500 0.176
0.000 0.500 0.824
0.333 0.667 0.000
0.667 0.333 0.661
0.333 0.667 0.661
0.333 0.667 0.339
0.667 0.333 0.000
0.667 0.333 0.339
```

---

Entry 6:
Crystalline LiLaIn2 at its relaxed geometry. Source: Alexandria via LeMat-Bulk, functional PBE.

Summary:
The value obtained for the final energy is -3.494 eV per atom. Its crystal system is trigonal.

Structure (POSCAR):
```
LiLaIn2
1.0
4.760 -0.002 0.001
2.379 4.124 0.001
2.381 1.375 5.482
La In Li
1 2 1
Direct
0.750 0.750 0.750
0.964 0.964 0.107
0.536 0.536 0.393
0.250 0.250 0.250
```

---

Entry 7:
Crystalline Li4LaIn15 at its relaxed geometry. Source: Alexandria via LeMat-Bulk, functional PBE.

Summary:
The value obtained for the final energy is -2.874 eV per atom. Its crystal system is tetragonal.

Structure (POSCAR):
```
Li4LaIn15
1.0
4.569 0.000 0.000
0.000 4.569 0.000
0.000 0.000 23.517
In Li La
15 4 1
Direct
0.500 0.500 0.000
0.000 0.500 0.500
0.000 0.500 0.108
0.500 0.500 0.203
0.000 0.500 0.697
0.500 0.000 0.108
0.500 0.500 0.597
0.500 0.500 0.403
0.000 0.500 0.303
0.500 0.500 0.797
0.500 0.000 0.697
0.500 0.000 0.892
0.500 0.000 0.500
0.000 0.500 0.892
0.500 0.000 0.303
0.000 0.000 0.403
0.000 0.000 0.201
0.000 0.000 0.597
0.000 0.000 0.799
0.000 0.000 0.000
```

---

Entry 8:
Crystalline Li6LaIn12 at its relaxed geometry. Source: Alexandria via LeMat-Bulk, functional PBE.

Summary:
The value obtained for the final energy is -2.722 eV per atom. Its crystal system is trigonal.

Structure (POSCAR):
```
Li6LaIn12
1.0
-7.488 -2.423 -1.651
4.098 -1.032 -6.842
2.928 -5.527 5.055
La In Li
1 12 6
Direct
0.000 0.000 0.000
0.403 0.403 0.152
0.500 0.115 0.885
0.115 0.885 0.500
0.500 0.885 0.115
0.152 0.403 0.403
0.597 0.848 0.597
0.848 0.597 0.597
0.885 0.500 0.115
0.115 0.500 0.885
0.885 0.115 0.500
0.597 0.597 0.848
0.403 0.152 0.403
0.285 0.721 0.721
0.721 0.721 0.285
0.715 0.279 0.279
0.279 0.715 0.279
0.721 0.285 0.721
0.279 0.279 0.715
```

---

Number 1: total magnetic moment 0.00 μB/cell, DOS(E_F) 1.032 states/eV per atom. Number 2: total magnetic moment 0.00 μB/cell, DOS(E_F) 0.333 states/eV per atom. Number 3: total magnetic moment 0.00 μB/cell, DOS(E_F) 0.808 states/eV per atom. Number 4: total magnetic moment 1.11 μB/cell, DOS(E_F) 1.205 states/eV per atom. Number 5: total magnetic moment 0.00 μB/cell, DOS(E_F) 0.485 states/eV per atom. Number 6: total magnetic moment 0.00 μB/cell, DOS(E_F) 0.536 states/eV per atom. Number 7: total magnetic moment 0.00 μB/cell, DOS(E_F) 0.289 states/eV per atom. Number 8: total magnetic moment 0.00 μB/cell, DOS(E_F) 0.513 states/eV per atom.